No. 1
PmNdTlSn PBE optimized geometry; distance to the lowest polymorph of the same formula = 0.000 eV per atom; E_form = -0.52 eV/atom
1.0
4.0542 0.0000 0.0000
0.0000 4.0542 0.0000
0.0000 0.0000 7.0867
Pm Nd Tl Sn
1 1 1 1
direct
0.5000 0.5000 0.6141
0.5000 0.5000 0.1002
0.0000 0.0000 0.3597
0.0000 0.0000 0.8540


No. 2
PmNd2Zn2Sn2 PBE optimized geometry; E_form = -0.39 eV/atom
1.0
4.6634 0.0000 0.0000
2.3317 4.0386 0.0000
2.3317 1.3462 9.7905
Sn Pm Zn Nd
2 1 2 2
direct
0.7314 0.7314 0.8058
0.2686 0.2686 0.1942
0.0000 0.0000 0.0000
0.4155 0.4155 0.7535
0.5845 0.5845 0.2465
0.1308 0.1308 0.6075
0.8692 0.8692 0.3925


No. 3
PmNdZnSn PBE optimized geometry; E_form = -0.52 eV/atom
1.0
5.3336 0.0000 0.0000
2.6668 4.6191 0.0000
2.6668 1.5397 4.3549
Sn Zn Pm Nd
1 1 1 1
direct
0.2500 0.2500 0.2500
0.7500 0.7500 0.7500
0.0000 0.0000 0.0000
0.5000 0.5000 0.5000


No. 4
SrPm2Nd PBE optimized geometry; distance to the lowest polymorph of the same formula = 0.063 eV per atom; E_form = 0.16 eV/atom
1.0
-2.2044 4.7612 0.9327
-1.6847 -1.7099 4.7466
4.5401 1.6686 2.2125
Sr Pm Nd
1 2 1
direct
0.5000 0.0000 0.0000
0.0000 0.5000 0.0000
0.0000 0.0000 0.5000
0.5000 0.5000 0.5000


No. 5
SrPm4Nd8 PBE optimized geometry; E_form = 0.05 eV/atom
1.0
5.1192 0.0000 1.1088
2.1434 5.5223 2.4758
-0.9785 1.4912 16.8889
Nd Sr Pm
8 1 4
direct
0.8228 0.3042 0.0502
0.0557 0.5351 0.3534
0.4408 0.9145 0.2039
0.5906 0.0889 0.7298
0.9757 0.4684 0.5803
0.2087 0.6990 0.8836
0.2820 0.7794 0.6567
0.7494 0.2240 0.2771
0.5157 0.0016 0.9669
0.8922 0.4111 0.8046
0.6684 0.1587 0.5046
0.1393 0.5922 0.1292
0.3630 0.8449 0.4291


No. 6
SrPm6Nd12 PBE optimized geometry; E_form = 0.19 eV/atom
1.0
-4.3921 -7.0918 -3.4315
7.7075 -4.1004 2.2674
-3.8914 0.2445 8.1337
Pm Nd Sr
6 12 1
direct
0.0996 0.6525 0.0996
0.9004 0.9004 0.3475
0.6525 0.0996 0.0996
0.0996 0.0996 0.6525
0.3475 0.9004 0.9004
0.9004 0.3475 0.9004
0.3592 0.3592 0.0848
0.0848 0.3592 0.3592
0.2382 0.7618 0.5000
0.3592 0.0848 0.3592
0.6408 0.9152 0.6408
0.7618 0.2382 0.5000
0.5000 0.2382 0.7618
0.5000 0.7618 0.2382
0.7618 0.5000 0.2382
0.9152 0.6408 0.6408
0.6408 0.6408 0.9152
0.2382 0.5000 0.7618
0.0000 0.0000 0.0000